A plane-wave DFT calculation with PBE-GGA was carried out for a relaxed ZnTeI2N crystal.

Calculated values
**Energy relative to the elements, uncorrected**: 0.731 eV per atom
**Spin magnetization**: 0.0 Bohr magnetons per cell
**Density of states at the Fermi level**: 3.87 states/eV per cell
**Space-group type**: P4/mmm (123)
**Total energy**: -2.438 eV/atom
**Polymorph energy (0 for the lowest one)**: 0.57 kcal/mol of atoms

a b c (Å): 6.248 6.248 4.012
angles (deg): 90.00 90.00 90.00
Atoms (fractional coordinates):
N 0.000 0.000 0.500
I 0.500 0.000 0.000
Te 0.000 0.000 0.000
I 0.000 0.500 0.000
Zn 0.500 0.500 0.500